Entry 1:
Compound: YTa2Cr
Source: Alexandria
Functional: GGA-PBE
Structure: relaxed

abc: 3.278 4.936 9.440
angles: 90.00 90.00 90.00
Space group Cmmm (No. 65)
Symmetry-distinct sites (fractional):
1 Y 0.000 0.000 0.000 (multiplicity 2)
2 Ta 0.000 0.500 0.298 (multiplicity 4)
3 Cr 0.000 0.000 0.500 (multiplicity 2)

Summary:
Energy in eV per formula unit: -38.3
E_form in eV/atom: 0.365
D(E_F) in states/eV/f.u.: 4.55
Energy relative to the lowest polymorph listed for this composition in meV per atom: 84



Entry 2:
Compound: Y2TaCr
Source: Alexandria
Functional: GGA-PBE
Structure: relaxed

abc: 7.057 7.057 7.057
angles: 90.00 90.00 90.00
Space group Fm-3m (No. 225)
Symmetry-distinct sites (fractional):
1 Y 0.250 0.250 0.250 (multiplicity 8)
2 Ta 0.000 0.000 0.000 (multiplicity 4)
3 Cr 0.000 0.000 0.500 (multiplicity 4)

Summary:
Energy in eV per formula unit: -31.0
E_form in eV/atom: 0.842
D(E_F) in states/eV/f.u.: 12.41
Energy relative to the lowest polymorph listed for this composition in meV per atom: 589



Entry 3:
Compound: TaZn2Cr
Source: Alexandria
Functional: GGA-PBE
Structure: relaxed

abc: 2.669 2.669 8.296
angles: 90.00 90.00 90.00
Space group P4mm (No. 99)
Symmetry-distinct sites (fractional):
1 Ta 0.000 0.000 0.000 (multiplicity 1)
2 Zn 0.000 0.000 0.505 (multiplicity 1)
3 Zn 0.500 0.500 0.263 (multiplicity 1)
4 Cr 0.500 0.500 0.733 (multiplicity 1)

Summary:
Energy in eV per formula unit: -23.2
E_form in eV/atom: 0.207
D(E_F) in states/eV/f.u.: 2.35
Energy relative to the lowest polymorph listed for this composition in meV per atom: 102



Entry 4:
Compound: TaZn2Cr
Source: Alexandria
Functional: GGA-PBE
Structure: relaxed

abc: 2.961 3.510 5.893
angles: 90.00 90.00 90.00
Space group Pmm2 (No. 25)
Symmetry-distinct sites (fractional):
1 Ta 0.000 0.000 0.000 (multiplicity 1)
2 Zn 0.000 0.000 0.518 (multiplicity 1)
3 Zn 0.500 0.500 0.284 (multiplicity 1)
4 Cr 0.500 0.500 0.776 (multiplicity 1)

Summary:
Energy in eV per formula unit: -23.2
E_form in eV/atom: 0.196
D(E_F) in states/eV/f.u.: 2.91
Energy relative to the lowest polymorph listed for this composition in meV per atom: 92



Entry 5:
Compound: TaZn2Cr
Source: Alexandria
Functional: GGA-PBE
Structure: relaxed

abc: 6.962 6.962 5.133
angles: 90.00 90.00 90.00
Space group I-42d (No. 122)
Symmetry-distinct sites (fractional):
1 Ta 0.000 0.000 0.000 (multiplicity 4)
2 Zn 0.229 0.750 0.625 (multiplicity 8)
3 Cr 0.000 0.000 0.500 (multiplicity 4)

Summary:
Energy in eV per formula unit: -21.6
E_form in eV/atom: 0.612
D(E_F) in states/eV/f.u.: 3.20
Energy relative to the lowest polymorph listed for this composition in meV per atom: 507



Entry 6:
Compound: TaZn2Cr
Source: Alexandria
Functional: GGA-PBE
Structure: relaxed

abc: 2.658 4.141 5.268
angles: 90.00 90.00 90.00
Space group Pmmm (No. 47)
Symmetry-distinct sites (fractional):
1 Ta 0.000 0.000 0.000 (multiplicity 1)
2 Zn 0.500 0.500 0.264 (multiplicity 2)
3 Cr 0.000 0.000 0.500 (multiplicity 1)

Summary:
Energy in eV per formula unit: -23.4
E_form in eV/atom: 0.153
D(E_F) in states/eV/f.u.: 1.76
Energy relative to the lowest polymorph listed for this composition in meV per atom: 48